# 1
## Sb2MoBr (GGA-PBE)

Data for an optimized crystal structure of Sb2MoBr.

* uncorrected energy: -4.522 eV/atom
* E above lowest polymorph: 589 meV per atom
* E_form (uncorrected): 0.67 eV/atom

Cell lengths 5.3447, 5.3447, 3.2184 Å; angles 90.00, 90.00, 97.00 degrees
Last column: nearest neighbours and their distance in Å.
Fractional positions:
Sb 0.0000 0.0000 0.0000  4 Mo 3.12, 4 Br 3.12, 2 Sb 3.22
Sb 0.5000 0.5000 0.0000  4 Br 3.12, 4 Mo 3.12, 2 Sb 3.22
Mo 0.0000 0.5000 0.5000  8 Sb 3.12, 2 Mo 3.22
Br 0.5000 0.0000 0.5000  8 Sb 3.12, 2 Br 3.22

=====

# 2
## CsAg3Te4 (GGA-PBE)

Data for an optimized crystal structure of CsAg3Te4.

* uncorrected energy: -2.872 eV/atom
* E_form (uncorrected): -0.13 eV/atom

Cell lengths 4.1668, 6.4429, 12.5077 Å; angles 127.34, 99.59, 90.00 degrees
Last column: nearest neighbours and their distance in Å.
Fractional positions:
Cs 0.0000 0.0000 0.0000  6 Te 3.69-3.95, 8 Ag 3.84-4.12
Ag 0.3341 0.8432 0.6683  5 Te 2.85-2.99
Ag 0.6659 0.1568 0.3317  5 Te 2.85-2.99
Ag 0.5000 0.5000 0.0000  4 Te 2.96
Te 0.8919 0.2637 0.7839  4 Ag 2.96-2.99, 1 Te 3.00
Te 0.1081 0.7363 0.2161  4 Ag 2.96-2.99, 1 Te 3.00
Te 0.8121 0.4741 0.6243  3 Ag 2.85-2.95, 1 Te 3.00
Te 0.1879 0.5259 0.3757  3 Ag 2.85-2.95, 1 Te 3.00

=====

# 3
## Pm7Te2C2 (GGA-PBE)

Data for an optimized crystal structure of Pm7Te2C2.

* uncorrected energy: -5.606 eV/atom
* E_form (uncorrected): -0.33 eV/atom

Cell lengths 7.8141, 7.1571, 7.1571 Å; angles 111.70, 94.63, 94.63 degrees
Last column: nearest neighbours and their distance in Å.
Fractional positions:
Pm 0.2132 0.9302 0.5460  1 C 2.39
Pm 0.7868 0.4540 0.0698  1 C 2.39
Pm 0.7868 0.0698 0.4540  1 C 2.39
Pm 0.2132 0.5460 0.9302  1 C 2.39
Pm 0.0000 0.0000 0.0000  2 C 2.62
Pm 0.8093 0.5875 0.5875  2 C 2.47-2.54
Pm 0.1907 0.4125 0.4125  2 C 2.47-2.54
Te 0.5000 0.3147 0.6853  6 Pm 3.15-3.27
Te 0.5000 0.6853 0.3147  6 Pm 3.15-3.27
C 0.8818 0.2890 0.2890  5 Pm 2.39-2.62
C 0.1182 0.7110 0.7110  5 Pm 2.39-2.62

=====

# 4
## Tl17Hg11Te (GGA-PBE)

Data for an optimized crystal structure of Tl17Hg11Te.

* uncorrected energy: -1.628 eV/atom
* E_form (uncorrected): -0.02 eV/atom

Cell lengths 10.8372, 10.8372, 10.0746 Å; angles 109.14, 109.14, 113.69 degrees
Last column: nearest neighbours and their distance in Å.
Fractional positions:
Tl 0.0127 0.0127 0.3432  4 Tl 3.37-3.52, 7 Hg 3.42-3.66
Tl 0.7096 0.7096 0.3037  1 Te 3.26, 4 Hg 3.30-3.58, 1 Tl 3.37
Tl 0.6398 0.6398 0.6268  6 Hg 3.49-3.74, 5 Tl 3.50-3.81, 1 Te 3.69
Tl 0.4029 0.4029 0.7292  5 Hg 3.21-3.46, 3 Tl 3.53
Tl 0.0089 0.0089 0.9912  7 Hg 3.46-3.74, 4 Tl 3.52-3.66, 1 Te 3.64
Tl 0.3177 0.6020 0.0024  3 Hg 3.34-3.56, 7 Tl 3.43-3.72, 1 Te 3.50
Tl 0.3917 0.7149 0.3953  4 Hg 3.30-3.49, 6 Tl 3.43-3.69, 1 Te 3.51
Tl 0.9951 0.3085 0.6003  5 Hg 3.26-3.60, 4 Tl 3.45-3.56
Tl 0.0035 0.3452 0.0064  4 Hg 3.38-3.58, 4 Tl 3.43-3.62, 1 Te 3.68
Tl 0.2818 0.6807 0.6831  3 Hg 3.18-3.40, 5 Tl 3.52-3.56
Tl 0.6015 0.9989 0.3117  4 Hg 3.29-3.57, 6 Tl 3.43-3.62
Tl 0.9989 0.6015 0.3117  4 Hg 3.29-3.57, 6 Tl 3.43-3.62
Tl 0.6807 0.2818 0.6831  3 Hg 3.18-3.40, 5 Tl 3.52-3.56
Tl 0.3452 0.0035 0.0064  4 Hg 3.38-3.58, 4 Tl 3.43-3.62, 1 Te 3.68
Tl 0.3085 0.9951 0.6003  5 Hg 3.26-3.60, 4 Tl 3.45-3.56
Tl 0.7149 0.3917 0.3953  4 Hg 3.30-3.49, 6 Tl 3.43-3.69, 1 Te 3.51
Tl 0.6020 0.3177 0.0024  3 Hg 3.34-3.56, 7 Tl 3.43-3.72, 1 Te 3.50
Hg 0.1533 0.1533 0.7686  2 Hg 3.12, 3 Tl 3.21-3.30, 1 Te 3.26
Hg 0.6382 0.8113 0.9954  3 Hg 3.14-3.25, 5 Tl 3.34-3.47
Hg 0.1950 0.3743 0.3819  2 Hg 3.11-3.25, 4 Tl 3.18-3.42, 1 Te 3.38
Hg 0.7934 0.9984 0.6415  2 Hg 3.05-3.12, 3 Tl 3.29-3.38
Hg 0.6127 0.0018 0.8185  3 Hg 3.05-3.17, 3 Tl 3.24-3.39
Hg 0.8276 0.1965 0.1967  3 Hg 3.06-3.25, 3 Tl 3.30-3.38
Hg 0.1965 0.8276 0.1967  3 Hg 3.06-3.25, 3 Tl 3.30-3.38
Hg 0.0018 0.6127 0.8185  3 Hg 3.05-3.17, 3 Tl 3.24-3.39
Hg 0.9984 0.7934 0.6415  2 Hg 3.05-3.12, 3 Tl 3.29-3.38
Hg 0.3743 0.1950 0.3819  2 Hg 3.11-3.25, 4 Tl 3.18-3.42, 1 Te 3.38
Hg 0.8113 0.6382 0.9954  3 Hg 3.14-3.25, 5 Tl 3.34-3.47
Te 0.3819 0.3819 0.1709  3 Hg 3.26-3.38, 6 Tl 3.26-3.64

=====

# 5
## SrAcTm (GGA-PBE)

Data for an optimized crystal structure of SrAcTm.

* uncorrected energy: -3.298 eV/atom
* E above lowest polymorph: 13 meV per atom

Cell lengths 3.9201, 3.9201, 8.6016 Å; angles 103.17, 103.17, 90.00 degrees
Last column: nearest neighbours and their distance in Å.
Fractional positions:
Sr 0.0071 0.0071 0.0142  4 Tm 3.89, 4 Sr 3.92, 4 Ac 4.14
Ac 0.3183 0.3183 0.6366  4 Tm 3.63, 4 Ac 3.92
Tm 0.6746 0.6746 0.3492  4 Ac 3.63, 4 Sr 3.89, 4 Tm 3.92

=====

# 6
## NbCd2CuTe (GGA-PBE)

Data for an optimized crystal structure of NbCd2CuTe.

* uncorrected energy: -2.596 eV/atom
* E_form (uncorrected): 1.23 eV/atom

Cell lengths 5.7059, 4.6621, 5.7059 Å; angles 90.00, 90.00, 90.00 degrees
Last column: nearest neighbours and their distance in Å.
Fractional positions:
Nb 0.5000 0.5000 0.5000  8 Cd 3.68, 4 Cu 4.03
Te 0.0000 0.0000 0.0000  2 Cu 2.33
Cu 0.0000 0.5000 0.0000  2 Te 2.33
Cd 0.0000 0.0000 0.5000  2 Te 2.85
Cd 0.5000 0.0000 0.0000  2 Te 2.85

=====

Volume: 22.81, 32.63, 33.46, 29.90, 41.71, 30.36 (A^3/atom)
Total magnetic moment: 2.136, 0.000, 0.003, 0.000, 0.000, 4.047 (μB/f.u.)